VASP calculation (GGA-PBE) on a relaxed AgMoRu2 crystal.

The structure belongs to space group R-3m (No. 166, hexagonal axes); the cell edges are 2.7664, 2.7664 and 27.8125 Å and the angles 90.00°, 90.00° and 120.00°. The distinct sites, in fractional coordinates, are Ag at (0.0000, 0.0000, 0.0000), Mo at (0.0000, 0.0000, 0.5000) and Ru at (0.0000, 0.0000, 0.2448).

The calculation puts the density at 10.97 g cm⁻³. As for the density of states at the Fermi level: 2.45 states/eV/f.u. The energy above the most stable polymorph in this dataset is 0 meV/atom. The crystal system is trigonal. The value obtained for the formation energy is 0.1994 eV/atom.